# 1
A plane-wave DFT calculation with GGA-PBE was carried out for Y4Ho2ErSc after structural relaxation.

```
Y4Ho2ErSc
1.0
4.972 0.000 0.000
0.000 4.970 0.000
-0.001 0.000 9.942
Y Ho Er Sc
4 2 1 1
Direct
0.002 0.000 0.254
0.498 0.500 0.745
0.502 0.500 0.255
0.998 0.000 0.746
0.000 0.500 0.500
0.500 0.000 0.000
0.000 0.500 0.000
0.500 0.000 0.500
```

Output
**DOS(E_F)**: 1.5662 states/eV/atom
**ΔH_f (0 K)**: 0.0166 eV/atom
**Theoretical density**: 6.1 g/cm³
**Calculated volume**: 246 Å³/cell


# 2
A plane-wave DFT calculation with GGA-PBE was carried out for LiCeErIn after structural relaxation.

```
LiCeErIn
1.0
0.000 3.758 3.758
3.758 0.000 3.758
3.758 3.758 0.000
Li Ce Er In
1 1 1 1
Direct
0.000 0.000 0.000
0.750 0.750 0.750
0.250 0.250 0.250
0.500 0.500 0.500
```

Output
**DOS(E_F)**: 2.5530 states/eV/atom
**ΔH_f (0 K)**: -0.1456 eV/atom
**Theoretical density**: 6.7 g/cm³
**Calculated volume**: 106 Å³/cell


# 3
A plane-wave DFT calculation with GGA-PBE was carried out for Mn2AsPt2 after structural relaxation.

```
Mn2AsPt2
1.0
-1.652 1.652 6.872
1.652 -1.652 6.872
1.652 1.652 -6.872
Mn As Pt
2 1 2
Direct
0.250 0.750 0.500
0.750 0.250 0.500
0.000 0.000 0.000
0.396 0.396 0.000
0.604 0.604 0.000
```

Output
**DOS(E_F)**: 1.2488 states/eV/atom
**ΔH_f (0 K)**: 0.1924 eV/atom
**Theoretical density**: 12.7 g/cm³
**Calculated volume**: 75 Å³/cell


# 4
A plane-wave DFT calculation with GGA-PBE was carried out for PmAlGa2Ni2 after structural relaxation.

```
PmAlGa2Ni2
1.0
4.351 0.000 0.000
0.000 4.351 0.000
0.000 0.000 5.650
Pm Al Ga Ni
1 1 2 2
Direct
0.000 0.000 0.000
0.000 0.000 0.500
0.500 0.500 0.247
0.500 0.500 0.753
0.000 0.500 0.500
0.500 0.000 0.500
```

Output
**DOS(E_F)**: 0.6738 states/eV/atom
**ΔH_f (0 K)**: -0.2903 eV/atom
**Theoretical density**: 6.7 g/cm³
**Calculated volume**: 107 Å³/cell


# 5
A plane-wave DFT calculation with GGA-PBE was carried out for Na6MgF12 after structural relaxation.

```
Na6MgF12
1.0
4.989 2.880 3.111
-4.989 2.880 3.111
0.000 -5.761 3.111
Na Mg F
6 1 12
Direct
0.149 0.256 0.615
0.256 0.615 0.149
0.385 0.851 0.744
0.615 0.149 0.256
0.744 0.385 0.851
0.851 0.744 0.385
0.000 0.000 0.000
0.041 0.931 0.702
0.069 0.298 0.959
0.145 0.561 0.476
0.298 0.959 0.069
0.439 0.524 0.855
0.476 0.145 0.561
0.524 0.855 0.439
0.561 0.476 0.145
0.702 0.041 0.931
0.855 0.439 0.524
0.931 0.702 0.041
0.959 0.069 0.298
```

Output
**E_form (uncorrected)**: -2.250 eV/atom
**DOS(E_F)**: 0.7604 states/eV/atom
**Theoretical density**: 2.4 g/cm³
**Calculated volume**: 268 Å³/cell


# 6
A plane-wave DFT calculation with GGA-PBE was carried out for Ho2Tm2Ga4Si after structural relaxation.

```
Ho2Tm2Ga4Si
1.0
-3.436 3.436 4.373
3.436 -3.436 4.373
3.436 3.436 -4.373
Ho Tm Ga Si
2 2 4 1
Direct
0.196 0.196 0.000
0.804 0.804 0.000
0.250 0.750 0.500
0.750 0.250 0.500
0.250 0.250 0.499
0.250 0.750 0.000
0.750 0.250 0.000
0.750 0.750 0.501
0.500 0.500 0.000
```

Output
**E_form (uncorrected)**: -0.276 eV/atom
**DOS(E_F)**: 0.5632 states/eV/atom
**Theoretical density**: 7.8 g/cm³
**Calculated volume**: 207 Å³/cell